No. 1
The following is a PBE-GGA calculation of Ac2Tb4Sm3 after structural relaxation, from Alexandria.

```
9
Lattice="-2.486 0.100 2.746 -0.740 -1.888 -3.101 11.124 -22.234 10.885" Properties=species:S:1:pos:R:3 pbc="T T T"
Sm 3.679 -7.354 3.600
Tb 6.009 -12.011 5.880
Ac -0.840 -2.690 1.838
Tb 2.965 -10.293 5.561
Sm 10.929 -21.845 10.694
Ac 7.717 -19.793 10.211
Sm 5.285 -14.932 7.832
Tb 8.359 -16.708 8.179
Tb 0.629 -5.625 3.275
```

* density of states at the Fermi level: 16.1 states/eV/f.u.
* energy above the lowest structure with this stoichiometry: 0.00 eV per formula unit
* symmetry: P3m1
* calculated volume: 35.854 Å³/atom
* formation energy: 0.084 eV/atom
* calculated total energy: -4.46 eV/atom

No. 2
The following is a PBE-GGA calculation of Ac4Sm5Tm after structural relaxation, from Alexandria.

```
10
Lattice="-2.800 -3.352 3.910 -3.893 -7.671 -9.365 7.743 2.603 3.383" Properties=species:S:1:pos:R:3 pbc="T T T"
Sm -0.119 -7.149 -1.820
Ac -1.363 -4.254 -0.229
Sm -3.347 -5.512 -2.728
Ac 2.863 -1.913 4.805
Sm 1.168 -1.271 -0.253
Tm -1.400 -1.676 1.955
Sm -0.364 -4.391 -4.025
Ac 2.412 -4.166 -1.844
Ac -1.814 -6.507 -6.878
Sm 1.413 -4.029 1.952
```

* density of states at the Fermi level: 15.4 states/eV/f.u.
* symmetry: C2/m
* calculated volume: 39.594 Å³/atom
* formation energy: 0.223 eV/atom
* calculated total energy: -4.23 eV/atom

No. 3
The following is a PBE-GGA calculation of Na2In2Pt after structural relaxation, from Alexandria.

```
5
Lattice="3.755 0.000 0.000 0.000 3.755 0.000 1.878 1.878 8.038" Properties=species:S:1:pos:R:3 pbc="T T T"
Pt 0.000 0.000 0.000
In 3.755 3.755 6.614
Na 1.878 3.755 4.019
Na 3.755 1.878 4.019
In 1.878 1.878 1.424
```

* density of states at the Fermi level: 1.6 states/eV/f.u.
* energy above the lowest structure with this stoichiometry: 1.43 eV per formula unit
* symmetry: I4/mmm
* calculated volume: 22.672 Å³/atom
* formation energy: 0.076 eV/atom
* calculated total energy: -2.75 eV/atom

No. 4
The following is a PBE-GGA calculation of TeMoRu4 after structural relaxation, from Alexandria.

```
6
Lattice="-0.807 1.872 4.742 -2.924 4.204 0.652 -4.662 -0.411 2.178" Properties=species:S:1:pos:R:3 pbc="T T T"
Ru -3.548 3.061 5.218
Ru -4.611 4.233 3.163
Te -6.295 4.248 5.680
Mo 0.000 0.000 0.000
Ru -5.485 1.914 3.929
Ru -3.142 2.121 2.835
```

* density of states at the Fermi level: 8.8 states/eV/f.u.
* symmetry: F-43m
* calculated volume: 16.209 Å³/atom
* calculated total energy: -7.87 eV/atom

No. 5
The following is a PBE-GGA calculation of Ti2BeS4 after structural relaxation, from Alexandria.

```
14
Lattice="-6.007 -2.470 -2.384 -0.654 -3.898 5.679 -5.718 0.461 3.878" Properties=species:S:1:pos:R:3 pbc="T T T"
S -7.876 -4.542 4.409
S -7.537 -2.612 1.558
Be -9.952 -4.252 4.373
Ti -5.862 -1.005 0.747
S -1.997 -3.521 3.654
Ti 0.000 0.000 0.000
S -4.502 -1.364 2.763
S -1.673 -1.593 0.845
Be -2.426 -1.655 2.800
S -10.381 -2.385 3.519
Ti -6.189 -2.953 3.586
S -4.841 -3.295 5.615
S -10.706 -4.314 6.328
Ti -3.003 -1.235 -1.192
```

* density of states at the Fermi level: 4.3 states/eV/f.u.
* energy above the lowest structure with this stoichiometry: 0.00 eV per formula unit
* symmetry: Fd-3m
* calculated volume: 16.737 Å³/atom
* calculated total energy: -6.41 eV/atom

No. 6
The following is a PBE-GGA calculation of MnCd2Ni after structural relaxation, from Alexandria.

```
4
Lattice="0.000 3.205 3.205 3.205 0.000 3.205 3.205 3.205 0.000" Properties=species:S:1:pos:R:3 pbc="T T T"
Ni 3.205 3.205 3.205
Cd 4.807 4.807 4.807
Cd 1.602 1.602 1.602
Mn 0.000 0.000 0.000
```

* density of states at the Fermi level: 1.9 states/eV/f.u.
* energy above the lowest structure with this stoichiometry: 0.41 eV per formula unit
* symmetry: Fm-3m
* calculated volume: 16.454 Å³/atom
* formation energy: 0.175 eV/atom
* calculated total energy: -4.02 eV/atom

No. 7
The following is a PBE-GGA calculation of BaBiAs2Pd5 after structural relaxation, from Alexandria.

```
9
Lattice="-1.993 -3.222 -2.373 3.846 -0.809 -2.131 2.581 -6.977 7.307" Properties=species:S:1:pos:R:3 pbc="T T T"
Pd 1.151 -7.416 4.894
Pd -0.563 -2.783 0.041
As 1.624 -3.901 -0.277
Pd 2.356 -1.577 0.162
Pd 2.217 -5.504 1.402
Bi 0.000 0.000 0.000
As 2.810 -7.107 3.081
Ba 1.290 -3.488 3.654
Pd 4.070 -6.209 5.015
```

* density of states at the Fermi level: 4.2 states/eV/f.u.
* symmetry: P4/mmm
* calculated volume: 23.154 Å³/atom
* formation energy: -0.446 eV/atom
* calculated total energy: -5.01 eV/atom

No. 8
The following is a PBE-GGA calculation of LaYCo3 after structural relaxation, from Alexandria.

```
5
Lattice="4.622 0.000 0.000 0.000 4.622 0.000 0.000 0.000 4.622" Properties=species:S:1:pos:R:3 pbc="T T T"
Co 0.000 0.000 2.311
Co 0.000 2.311 0.000
Y 2.311 2.311 2.311
La 0.000 0.000 0.000
Co 2.311 0.000 0.000
```

* density of states at the Fermi level: 6.4 states/eV/f.u.
* energy above the lowest structure with this stoichiometry: 5.08 eV per formula unit
* symmetry: Pm-3m
* calculated volume: 19.747 Å³/atom
* formation energy: 0.889 eV/atom
* calculated total energy: -5.65 eV/atom

No. 9
The following is a PBE-GGA calculation of Tm6Te3Ru after structural relaxation, from Alexandria.

```
20
Lattice="3.914 0.000 0.000 0.000 11.134 -3.533 0.000 0.655 12.565" Properties=species:S:1:pos:R:3 pbc="T T T"
Tm 2.936 10.627 -1.499
Te 2.936 4.708 9.445
Te 0.979 4.011 4.931
Tm 0.979 1.162 10.530
Tm 2.936 5.865 6.462
Tm 2.936 8.873 1.267
Te 0.979 10.007 9.011
Te 0.979 7.081 -0.413
Tm 0.979 2.916 7.764
Tm 0.979 10.468 3.816
Tm 0.979 7.016 9.092
Tm 2.936 4.772 -0.060
Te 2.936 7.778 4.101
Tm 0.979 2.431 2.290
Ru 0.979 10.900 0.565
Te 2.936 1.781 0.021
Ru 2.936 0.888 8.467
Tm 2.936 9.357 6.742
Tm 2.936 1.321 5.215
Tm 0.979 5.923 2.569
```

* density of states at the Fermi level: 7.0 states/eV/f.u.
* symmetry: P2_1/m
* calculated volume: 27.831 Å³/atom
* calculated total energy: -5.33 eV/atom

No. 10
The following is a PBE-GGA calculation of CsBi6Pb2 after structural relaxation, from Alexandria.

```
9
Lattice="5.473 0.000 0.000 2.737 8.833 1.232 2.737 3.717 8.107" Properties=species:S:1:pos:R:3 pbc="T T T"
Cs 5.473 6.275 4.670
Bi 8.210 7.913 7.939
Bi 8.210 9.877 5.300
Bi 2.737 4.636 1.400
Pb 2.737 1.329 0.989
Bi 2.737 7.932 2.443
Bi 2.737 4.617 6.896
Bi 2.737 2.672 4.039
Pb 8.210 11.220 8.350
```

* density of states at the Fermi level: 3.4 states/eV/f.u.
* symmetry: Immm
* calculated volume: 40.761 Å³/atom
* formation energy: -0.017 eV/atom
* calculated total energy: -3.52 eV/atom

No. 11
The following is a PBE-GGA calculation of MgZnO2 after structural relaxation, from Alexandria.

```
4
Lattice="2.227 -3.056 0.209 -0.873 -3.117 -1.965 2.108 -1.014 -2.978" Properties=species:S:1:pos:R:3 pbc="T T T"
O 2.596 -5.390 -3.551
Mg 0.000 0.000 0.000
Zn 1.731 -3.593 -2.367
O 0.865 -1.797 -1.184
```

* density of states at the Fermi level: 0.0 states/eV/f.u.
* energy above the lowest structure with this stoichiometry: 2.72 eV per formula unit
* symmetry: Fm-3m
* calculated volume: 9.601 Å³/atom
* calculated total energy: -4.56 eV/atom

No. 12
The following is a PBE-GGA calculation of Dy7Tl4Bi after structural relaxation, from Alexandria.

```
12
Lattice="5.798 0.000 0.000 2.899 8.977 -0.021 2.899 0.341 7.182" Properties=species:S:1:pos:R:3 pbc="T T T"
Tl 2.899 3.095 0.591
Dy 8.697 3.137 5.938
Dy 2.899 1.318 3.204
Tl 5.798 2.242 4.564
Dy 5.798 5.459 5.207
Dy 2.899 6.182 1.223
Tl 5.798 7.076 2.598
Dy 2.899 0.000 0.000
Bi 0.000 0.000 0.000
Dy 8.697 8.001 3.958
Tl 8.697 6.223 6.570
Dy 5.798 3.859 1.955
```

* density of states at the Fermi level: 11.3 states/eV/f.u.
* symmetry: C2/m
* calculated volume: 31.153 Å³/atom
* formation energy: -0.138 eV/atom
* calculated total energy: -3.93 eV/atom